Run a
{"formula": "CrCdPAuNF", "functional": "PBE+U", "state": "optimized geometry", "magnetic_moment_mub_per_atom": 0.584, "lattice": [[-2.994, -0.323, -0.126], [0.350, -3.707, 1.198], [0.858, 2.840, 8.537]], "species": ["P", "Cd", "F", "Cr", "Au", "N"], "frac_coords": [[0.494, 0.500, 0.369], [0.171, 0.500, 0.735], [0.809, 0.000, 0.008], [0.827, 0.500, 0.043], [0.572, 0.000, 0.542], [0.402, 0.500, 0.192]]}

=====

Run b
{"formula": "CrCdPAuNF", "functional": "PBE+U", "state": "optimized geometry", "magnetic_moment_mub_per_atom": 0.649, "lattice": [[3.009, 0.220, -0.209], [0.231, 4.396, -0.111], [-0.795, -1.086, 9.356]], "species": ["N", "Au", "F", "P", "Cd", "Cr"], "frac_coords": [[0.333, 0.412, 0.785], [0.227, 0.854, 0.504], [0.504, 0.214, 0.052], [0.251, 0.385, 0.613], [0.604, 0.804, 0.240], [0.917, 0.321, 0.917]]}

=====

We find run b to be the most stable, with the next structure 0.037 eV/atom higher.